1.
Entry from Alexandria via LeMat-Bulk: crystalline BaTl6Cl8 at its relaxed geometry (PBE-GGA).

Unit cell a=8.372 b=8.372 c=8.372 alpha=101.53 beta=101.53 gamma=101.53
Positions (direct):
Tl 0.901 0.431 0.666
Tl 0.099 0.569 0.334
Tl 0.569 0.334 0.099
Tl 0.334 0.099 0.569
Tl 0.666 0.901 0.431
Tl 0.431 0.666 0.901
Cl 0.834 0.190 0.285
Cl 0.285 0.834 0.190
Cl 0.166 0.810 0.715
Cl 0.711 0.711 0.711
Cl 0.289 0.289 0.289
Cl 0.810 0.715 0.166
Cl 0.190 0.285 0.834
Cl 0.715 0.166 0.810
Ba 0.000 0.000 0.000

Summary:
Final energy (eV/atom): -3.317
Space group: No. 148
Energy relative to the elements, uncorrected (eV/atom): -1.258

***

2.
Entry from Alexandria via LeMat-Bulk: crystalline Ac2PdI at its relaxed geometry (PBE-GGA).

Unit cell a=3.824 b=3.824 c=8.900 alpha=90.00 beta=90.00 gamma=90.00
Positions (direct):
Ac 0.000 0.000 0.209
Ac 0.000 0.000 0.791
Pd 0.500 0.500 0.000
I 0.500 0.500 0.500

Summary:
Final energy (eV/atom): -4.512
Space group: No. 123
Polymorph energy (0 for the lowest one) (eV per atom): 0.197
Energy relative to the elements, uncorrected (eV/atom): -0.772

***

3.
Entry from Alexandria via LeMat-Bulk: crystalline Na4H3Br at its relaxed geometry (PBE-GGA).

Unit cell a=5.402 b=6.084 c=9.625 alpha=90.00 beta=90.00 gamma=90.00
Positions (direct):
Na 0.565 0.665 0.215
Na 0.564 0.160 0.000
Na 0.065 0.335 0.285
Na 0.065 0.335 0.715
Na 0.565 0.250 0.500
Na 0.565 0.665 0.785
Na 0.064 0.840 0.500
Na 0.065 0.750 0.000
Br 0.064 0.239 0.000
Br 0.564 0.761 0.500
H 0.564 0.299 0.258
H 0.564 0.786 0.000
H 0.564 0.299 0.742
H 0.064 0.701 0.758
H 0.064 0.701 0.242
H 0.064 0.214 0.500

Summary:
Final energy (eV/atom): -2.591
Space group: No. 59

***

4.
Entry from Alexandria via LeMat-Bulk: crystalline Ac2Nd8Y3 at its relaxed geometry (PBE-GGA).

Unit cell a=6.327 b=9.050 c=9.050 alpha=83.71 beta=72.76 gamma=72.76
Positions (direct):
Nd 0.666 0.587 0.087
Nd 0.063 0.857 0.857
Nd 0.759 0.423 0.423
Nd 0.241 0.577 0.577
Nd 0.334 0.913 0.413
Nd 0.334 0.413 0.913
Nd 0.937 0.143 0.143
Nd 0.666 0.087 0.587
Ac 0.340 0.302 0.302
Ac 0.660 0.698 0.698
Y 0.500 0.000 0.000
Y 0.000 0.744 0.256
Y 0.000 0.256 0.744

Summary:
Final energy (eV/atom): -4.881
Space group: No. 12
Polymorph energy (0 for the lowest one) (eV per atom): 0.000
Formation energy from the elements (kJ/mol of atoms): 17.1

***

5.
Entry from Alexandria via LeMat-Bulk: crystalline Pu2Pa3Ge4 at its relaxed geometry (PBE-GGA).

Unit cell a=8.051 b=7.894 c=8.156 alpha=90.00 beta=119.58 gamma=90.00
Positions (direct):
Pu 0.901 0.512 0.803
Pu 0.401 0.988 0.803
Pu 0.099 0.488 0.197
Pu 0.599 0.012 0.197
Ge 0.199 0.019 0.398
Ge 0.235 0.250 0.971
Ge 0.735 0.250 0.971
Ge 0.265 0.750 0.029
Ge 0.699 0.481 0.398
Ge 0.301 0.519 0.602
Ge 0.801 0.981 0.602
Ge 0.765 0.750 0.029
Pa 0.478 0.750 0.456
Pa 0.022 0.250 0.544
Pa 0.978 0.750 0.456
Pa 0.500 0.500 0.000
Pa 0.522 0.250 0.544
Pa 0.000 0.000 0.000

Summary:
Final energy (eV/atom): -8.663
Space group: No. 64
Polymorph energy (0 for the lowest one) (eV per atom): 0.179
Formation energy from the elements (kJ/mol of atoms): -25.2

***

6.
Entry from Alexandria via LeMat-Bulk: crystalline LaRuO2 at its relaxed geometry (PBE-GGA).

Unit cell a=4.267 b=4.267 c=4.267 alpha=60.00 beta=60.00 gamma=60.00
Positions (direct):
Ru 0.000 0.000 0.000
La 0.500 0.500 0.500
O 0.750 0.750 0.750
O 0.250 0.250 0.250

Summary:
Final energy (eV/atom): -7.359
Space group: No. 225
Polymorph energy (0 for the lowest one) (eV per atom): 0.433
Energy relative to the elements, uncorrected (eV/atom): -1.329

***

7.
Entry from Alexandria via LeMat-Bulk: crystalline AlCo2Sn2 at its relaxed geometry (PBE-GGA).

Unit cell a=6.497 b=6.497 c=3.807 alpha=90.00 beta=90.00 gamma=90.00
Positions (direct):
Al 0.000 0.000 0.000
Al 0.500 0.500 0.000
Sn 0.162 0.662 0.500
Sn 0.662 0.838 0.500
Sn 0.338 0.162 0.500
Sn 0.838 0.338 0.500
Co 0.645 0.145 0.000
Co 0.145 0.355 0.000
Co 0.855 0.645 0.000
Co 0.355 0.855 0.000

Summary:
Final energy (eV/atom): -5.195
Space group: No. 127
Formation energy from the elements (kJ/mol of atoms): -0.3

***

8.
Entry from Alexandria via LeMat-Bulk: crystalline TcAsH2 at its relaxed geometry (PBE-GGA).

Unit cell a=5.659 b=5.659 c=4.689 alpha=52.89 beta=52.89 gamma=90.00
Positions (direct):
As 0.250 0.750 0.500
As 0.500 0.500 0.000
H 0.710 0.125 0.250
H 0.875 0.960 0.750
H 0.040 0.625 0.250
H 0.375 0.290 0.750
Tc 0.000 0.000 0.000
Tc 0.750 0.250 0.500

Summary:
Final energy (eV/atom): -5.173
Space group: No. 122
Polymorph energy (0 for the lowest one) (eV per atom): 0.190